GdY3Fe4O12: optimized geometry, PBE+U.

Calculated values
total magnetization	13.000	μB/cell
symmetry	Pm (6)
volume	235	Å³ per cell
DFT total energy	-165.9	eV/cell

abc: 7.740 5.360 5.659
angles: 90.01 90.00 90.00
Atoms (fractional coordinates):
O: 0.310 0.194 0.196
O: 0.192 0.809 0.806
O: 0.690 0.194 0.196
O: 0.500 0.616 0.042
O: 0.310 0.307 0.695
O: 0.000 0.384 0.961
O: 0.500 0.884 0.544
O: 0.690 0.307 0.695
O: 0.808 0.695 0.302
O: 0.000 0.110 0.457
O: 0.192 0.695 0.302
O: 0.808 0.809 0.806
Gd: 0.000 0.518 0.566
Fe: 0.251 0.500 0.999
Fe: 0.251 0.000 0.500
Fe: 0.749 0.500 0.999
Fe: 0.749 0.000 0.500
Y: 0.500 0.481 0.431
Y: 0.000 0.980 0.067
Y: 0.500 0.019 0.933